Entry from Alexandria: MnPd2O6 after structural relaxation (PBE with a Hubbard U).

It has space group P4_2/mnm (No. 136), with a = 4.5562 Å, b = 4.5562 Å, c = 9.3648 Å, α = 90.00°, β = 90.00° and γ = 90.00°. The inequivalent atoms are Mn at (0.0000, 0.0000, 0.0000), Pd at (0.0000, 0.0000, 0.3330), O at (0.1899, 0.1899, 0.1618) and O at (0.1991, 0.1991, 0.5000).

The value obtained for the total energy is -5.88 eV per atom. The value obtained for the relative energy among the computed polymorphs is 0.0479 eV/atom.